No. 1
V3TcW: optimized geometry, PBE.

## Properties
Space group: Pnma
Distance to the lowest polymorph of the same formula: 0.80 eV per formula unit
Fermi-level density of states: 20.96 states/eV per cell
Raw total energy: -198.04 eV per cell

Unit cell a=4.9269 b=7.2096 c=8.4139 alpha=90.00 beta=90.00 gamma=90.00
Element x y z (fractional)
V 0.9272 0.1536 0.5560
W 0.8166 0.8319 0.7500
Tc 0.0000 0.5000 0.5000
V 0.0728 0.8464 0.0560
V 0.5728 0.6536 0.4440
W 0.6834 0.3319 0.2500
V 0.4272 0.3464 0.9440
Tc 0.0000 0.5000 0.0000
W 0.1834 0.1681 0.2500
V 0.0728 0.8464 0.4440
V 0.9272 0.1536 0.9440
Tc 0.5000 0.0000 0.5000
V 0.5728 0.6536 0.0560
V 0.2977 0.0469 0.7500
V 0.4272 0.3464 0.5560
W 0.3166 0.6681 0.7500
V 0.7977 0.4531 0.7500
V 0.7023 0.9531 0.2500
Tc 0.5000 0.0000 0.0000
V 0.2023 0.5469 0.2500

***

No. 2
VTcW2: optimized geometry, PBE.

## Properties
Space group: Pnma
Distance to the lowest polymorph of the same formula: 0.84 eV per formula unit
Fermi-level density of states: 10.31 states/eV per cell
Raw total energy: -179.76 eV per cell

Unit cell a=5.2624 b=8.8742 c=5.2872 alpha=90.00 beta=90.00 gamma=90.00
Element x y z (fractional)
W 0.0824 0.4999 0.7514
V 0.2195 0.7500 0.0067
Tc 0.3042 0.2500 0.0155
Tc 0.8042 0.7500 0.4845
Tc 0.1958 0.2500 0.5155
W 0.9176 0.5001 0.2486
W 0.9176 0.9999 0.2486
V 0.7805 0.2500 0.9933
V 0.7195 0.2500 0.4933
W 0.5824 0.5001 0.7486
V 0.2805 0.7500 0.5067
Tc 0.6958 0.7500 0.9845
W 0.5824 0.9999 0.7486
W 0.4176 0.4999 0.2514
W 0.4176 0.0001 0.2514
W 0.0824 0.0001 0.7514

***

No. 3
V6Tc2W: optimized geometry, PBE.

## Properties
Space group: C2/m
Fermi-level density of states: 8.00 states/eV per cell
Raw total energy: -86.81 eV per cell

Unit cell a=6.6029 b=4.9557 c=4.9557 alpha=60.07 beta=70.90 gamma=70.90
Element x y z (fractional)
V 0.2954 0.8023 0.3165
Tc 0.1230 0.3260 0.3260
V 0.4654 0.7571 0.7571
V 0.5346 0.2429 0.2429
Tc 0.8770 0.6740 0.6740
W 0.0000 0.0000 0.0000
V 0.7046 0.6835 0.1977
V 0.2954 0.3165 0.8023
V 0.7046 0.1977 0.6835

***

No. 4
V2TcW: optimized geometry, PBE.

## Properties
Space group: R-3m
Fermi-level density of states: 3.74 states/eV per cell
Raw total energy: -41.02 eV per cell

Unit cell a=2.8986 b=2.8986 c=8.2869 alpha=79.93 beta=79.93 gamma=60.00
Element x y z (fractional)
W 0.5000 0.5000 0.5000
V 0.2520 0.2520 0.2440
Tc 0.0000 0.0000 0.0000
V 0.7480 0.7480 0.7560